The following is a PBE-GGA calculation of an optimized crystal structure of Pa3P3Rh2, from the Alexandria database.

Summary:
**DOS at the Fermi energy**: 0.948 states/eV per atom
**Energy of formation from the pure elements**: -1.07 eV per atom
**Symmetry**: Cmcm (63)
**Energy**: -135.9 eV/cell
**M_tot**: 0.00 μB/f.u.

Structure (POSCAR):
```
Pa3P3Rh2
1.0
2.0271 -5.2406 0.0000
2.0271 5.2406 0.0000
0.0000 0.0000 13.8626
Pa P Rh
6 6 4
Cartesian
2.0271 4.4109 8.4713
2.0271 4.4109 12.3226
2.0271 1.4333 10.3970
2.0271 -1.4333 3.4657
2.0271 -4.4109 1.5400
2.0271 -4.4109 5.3913
2.0271 1.4680 3.4657
2.0271 1.1991 7.5112
2.0271 1.1991 13.2827
2.0271 -1.1991 0.5799
2.0271 -1.1991 6.3514
2.0271 -1.4680 10.3970
2.0271 3.0089 1.4431
2.0271 3.0089 5.4882
2.0271 -3.0089 8.3744
2.0271 -3.0089 12.4195
```